# 1
# Rb2Bi2Rh (GGA-PBE, optimized geometry)
# raw total energy	-26.43	eV per cell
# total magnetic moment	0.30	μB/atom
data_Rb2Bi2Rh
_space_group_name_H-M_alt 'P 4/m b m'
_space_group_IT_number 127
_space_group_name_Hall '-P 4 2ab'
_cell_length_a 11.009
_cell_length_b 11.009
_cell_length_c 3.175
_cell_angle_alpha 90.00
_cell_angle_beta 90.00
_cell_angle_gamma 90.00
loop_
_atom_site_label
_atom_site_type_symbol
_atom_site_fract_x
_atom_site_fract_y
_atom_site_fract_z
Rb1 Rb 0.121 0.379 0.000
Bi1 Bi 0.180 0.680 0.500
Rh1 Rh 0.000 0.000 0.000


# 2
# KMg4P (GGA-PBE, optimized geometry)
# raw total energy	-44.48	eV per cell
# total magnetic moment	0.00	μB/atom
data_KMg4P
_space_group_name_H-M_alt 'F -4 3 m'
_space_group_IT_number 216
_space_group_name_Hall 'F -4 2 3'
_cell_length_a 8.533
_cell_length_b 8.533
_cell_length_c 8.533
_cell_angle_alpha 90.00
_cell_angle_beta 90.00
_cell_angle_gamma 90.00
loop_
_atom_site_label
_atom_site_type_symbol
_atom_site_fract_x
_atom_site_fract_y
_atom_site_fract_z
K1 K 0.000 0.000 0.000
Mg1 Mg 0.123 0.123 0.623
P1 P 0.250 0.250 0.250


# 3
# TlNi2Bi (GGA-PBE, optimized geometry)
# ΔE to the lowest computed polymorph	0.00	eV/f.u.
# total magnetic moment	0.00	μB/atom
data_TlNi2Bi
_space_group_name_H-M_alt 'F m -3 m'
_space_group_IT_number 225
_space_group_name_Hall '-F 4 2 3'
_cell_length_a 6.657
_cell_length_b 6.657
_cell_length_c 6.657
_cell_angle_alpha 90.00
_cell_angle_beta 90.00
_cell_angle_gamma 90.00
loop_
_atom_site_label
_atom_site_type_symbol
_atom_site_fract_x
_atom_site_fract_y
_atom_site_fract_z
Tl1 Tl 0.000 0.000 0.000
Ni1 Ni 0.250 0.250 0.250
Bi1 Bi 0.000 0.000 0.500


# 4
# TiPOsCl2 (GGA-PBE, optimized geometry)
# ΔE to the lowest computed polymorph	0.02	eV/f.u.
# total magnetic moment	0.80	μB/atom
# formation energy from raw total energies	673	meV/atom
data_TiPOsCl2
_space_group_name_H-M_alt 'P 4/m m m'
_space_group_IT_number 123
_space_group_name_Hall '-P 4 2'
_cell_length_a 4.535
_cell_length_b 4.535
_cell_length_c 5.204
_cell_angle_alpha 90.00
_cell_angle_beta 90.00
_cell_angle_gamma 90.00
loop_
_atom_site_label
_atom_site_type_symbol
_atom_site_fract_x
_atom_site_fract_y
_atom_site_fract_z
Ti1 Ti 0.000 0.000 0.000
P1 P 0.000 0.000 0.500
Os1 Os 0.500 0.500 0.500
Cl1 Cl 0.000 0.500 0.000


- Among the records above, which one has the highest total magnetic moment?
  TiPOsCl2